Below is a geometry-optimized Nd2MnSb2O structure, with properties calculated at the PBE+U level.

Geometry as POSCAR:
```
Nd2MnSb2O
1.0
3.427 0.000 0.000
0.000 3.427 0.000
0.000 0.000 16.271
O Nd Sb Mn
1 2 2 1
Direct
0.500 0.500 0.500 O
0.500 0.500 0.371 Nd
0.500 0.500 0.629 Nd
0.500 0.500 0.167 Sb
0.500 0.500 0.833 Sb
0.500 0.500 0.000 Mn
```

Calculated values
VASP energy = -31.90 eV/cell
theoretical density = 5.2 g/cm³